# 1
Below is a geometry-optimized Pm4CoPb structure, with properties calculated at the PBE level. Values from VASP.

The structure in Quantum ESPRESSO input format:
```
&SYSTEM
  ibrav = 0, nat = 6, ntyp = 3
/
ATOMIC_SPECIES
Pm 145.00 Pm.upf
Co 58.93 Co.upf
Pb 207.20 Pb.upf
ATOMIC_POSITIONS crystal
Pm 0.500 0.000 0.715
Pm 0.000 0.500 0.715
Pm 0.500 0.000 0.285
Pm 0.000 0.500 0.285
Co 0.500 0.500 0.500
Pb 0.000 0.000 0.000
CELL_PARAMETERS angstrom
4.953 0.000 0.000
0.000 4.953 0.000
0.000 0.000 7.592
```

Results
space-group type: P4/mmm (123)
relative energy among the computed polymorphs: 0.173 eV per atom
calculated formation energy: -81 meV/atom

***

# 2
Below is a geometry-optimized AlPPt structure, with properties calculated at the PBE level. Values from VASP.

The structure in Quantum ESPRESSO input format:
```
&SYSTEM
  ibrav = 0, nat = 3, ntyp = 3
/
ATOMIC_SPECIES
P 30.97 P.upf
Al 26.98 Al.upf
Pt 195.08 Pt.upf
ATOMIC_POSITIONS crystal
P 0.667 0.333 0.500
Al 0.000 0.000 0.000
Pt 0.333 0.667 0.500
CELL_PARAMETERS angstrom
-1.180 1.160 -3.976
2.708 -3.301 0.566
-2.171 -1.758 0.131
```

Results
space-group type: P-6m2 (187)
calculated formation energy: -262 meV/atom

***

Let's list density in order: 7.545, 9.353 g cm⁻³.